# ZrMn5Re | the Alexandria database | PBE | relaxed
# DFT formation energy = -0.87 eV per formula unit
# magnetization = 3.8 μB/f.u.
data_ZrMn5Re
_space_group_name_H-M_alt 'P 1'
_space_group_IT_number 1
_space_group_name_Hall 'P 1'
_cell_length_a 4.733
_cell_length_b 7.943
_cell_length_c 9.944
_cell_angle_alpha 90.00
_cell_angle_beta 90.00
_cell_angle_gamma 90.00
loop_
_atom_site_label
_atom_site_fract_x
_atom_site_fract_y
_atom_site_fract_z
Mn1 0.009 0.573 0.810
Mn2 0.750 0.553 0.589
Mn3 0.250 0.947 0.089
Mn4 0.750 0.309 0.748
Mn5 0.509 0.427 0.190
Mn6 0.250 0.587 0.025
Re1 0.750 0.637 0.351
Mn7 0.250 0.191 0.248
Mn8 0.250 0.447 0.411
Mn9 0.750 0.913 0.525
Mn10 0.250 0.691 0.252
Mn11 0.491 0.573 0.810
Mn12 0.509 0.927 0.310
Zr1 0.750 0.753 0.060
Mn13 0.750 0.809 0.752
Mn14 0.009 0.073 0.690
Mn15 0.750 0.053 0.911
Re2 0.250 0.863 0.851
Mn16 0.750 0.413 0.975
Mn17 0.250 0.087 0.475
Re3 0.250 0.363 0.649
Zr2 0.250 0.247 0.940
Zr3 0.250 0.747 0.560
Mn18 0.491 0.073 0.690
Mn19 0.991 0.927 0.310
Zr4 0.750 0.253 0.440
Mn20 0.991 0.427 0.190
Re4 0.750 0.137 0.149